Record 1
Computed, not measured: a relaxed structure of LiNp4CdN8 at the GGA-PBE level of DFT.

Lattice parameters (Å, degrees): 6.914 6.914 6.320 56.84 56.84 60.00
Last column: magnetic moment on the atom in μB.
Atoms (fractional coordinates):
N 0.205 0.761 0.273  -0.14
N 0.232 0.232 0.304  -0.10
N 0.753 0.753 0.741  -0.12
N 0.761 0.205 0.273  -0.14
N 0.263 0.794 0.679  -0.12
N 0.263 0.263 0.679  -0.12
N 0.794 0.263 0.679  -0.12
N 0.761 0.761 0.273  -0.14
Np 0.999 0.500 0.503  1.62
Np 0.500 0.999 0.503  1.62
Np 0.999 0.999 0.503  1.62
Np 0.595 0.595 0.216  3.06
Li 0.996 0.996 0.011  0.00
Cd 0.379 0.379 0.863  0.00

Properties
D(E_F) (states/eV per cell): 22.92
Symmetry: No. 160
Raw formation energy (eV/f.u.): -10.04
Uncorrected energy (eV per atom): -9.374

=====

Record 2
Computed, not measured: a relaxed structure of LiCdN2O at the GGA-PBE level of DFT.

Lattice parameters (Å, degrees): 4.336 4.336 4.298 90.00 90.00 90.00
Last column: magnetic moment on the atom in μB.
Atoms (fractional coordinates):
O 0.000 0.000 0.500  0.40
Li 0.500 0.500 0.500  -0.01
N 0.500 0.000 0.000  1.12
N 0.000 0.500 0.000  1.12
Cd 0.000 0.000 0.000  0.02

Properties
D(E_F) (states/eV per cell): 2.76
Symmetry: No. 123
Raw formation energy (eV/f.u.): 6.55
Uncorrected energy (eV per atom): -3.578

=====

Record 3
Computed, not measured: a relaxed structure of LiCdN2O at the GGA-PBE level of DFT.

Lattice parameters (Å, degrees): 3.638 3.638 4.117 90.00 90.00 90.00
Last column: magnetic moment on the atom in μB.
Atoms (fractional coordinates):
N 0.500 0.000 0.000  0.73
N 0.000 0.500 0.000  0.73
O 0.000 0.000 0.500  0.71
Cd 0.500 0.500 0.500  -0.01
Li 0.000 0.000 0.000  0.03

Properties
D(E_F) (states/eV per cell): 1.83
Symmetry: No. 123
Raw formation energy (eV/f.u.): 6.18
Uncorrected energy (eV per atom): -3.652

=====

Question: Which of these has the highest uncorrected energy?
Answer: number 2

=====

Please write out number 3 again, unchanged.
Computed, not measured: a relaxed structure of LiCdN2O at the GGA-PBE level of DFT.

Lattice parameters (Å, degrees): 3.638 3.638 4.117 90.00 90.00 90.00
Last column: magnetic moment on the atom in μB.
Atoms (fractional coordinates):
N 0.500 0.000 0.000  0.73
N 0.000 0.500 0.000  0.73
O 0.000 0.000 0.500  0.71
Cd 0.500 0.500 0.500  -0.01
Li 0.000 0.000 0.000  0.03

Properties
D(E_F) (states/eV per cell): 1.83
Symmetry: No. 123
Raw formation energy (eV/f.u.): 6.18
Uncorrected energy (eV per atom): -3.652

=====

Question: Look up the D(E_F) of the first one.
Answer: 22.92 states/eV per cell